Entry 1:
The following is a DFT calculation (PBE) of a geometry-optimized PrMg2Tl structure.

Cell: 3.378 3.378 34.661 Å, 90.00 90.00 120.00°
Sites, in units of the cell vectors:
1 Pr 0.000 0.000 0.000
2 Pr 0.333 0.667 0.667
3 Pr 0.667 0.333 0.333
4 Mg 0.000 0.000 0.095
5 Mg 0.000 0.000 0.905
6 Mg 0.333 0.667 0.572
7 Mg 0.333 0.667 0.762
8 Mg 0.667 0.333 0.238
9 Mg 0.667 0.333 0.428
10 Tl 0.000 0.000 0.500
11 Tl 0.333 0.667 0.167
12 Tl 0.667 0.333 0.833

Properties
Crystal system: trigonal
Magnetic moment (μB per atom): 0.00
Distance to the lowest polymorph of the same formula (kJ per mole of atoms): 37.5

***

Entry 2:
The following is a DFT calculation (PBE) of a geometry-optimized Be2InC structure.

Cell: 5.847 5.847 5.847 Å, 90.00 90.00 90.00°
Sites, in units of the cell vectors:
1 Be 0.250 0.250 0.250
2 Be 0.250 0.250 0.750
3 Be 0.250 0.750 0.250
4 Be 0.250 0.750 0.750
5 Be 0.750 0.250 0.250
6 Be 0.750 0.250 0.750
7 Be 0.750 0.750 0.250
8 Be 0.750 0.750 0.750
9 In 0.000 0.000 0.000
10 In 0.000 0.500 0.500
11 In 0.500 0.000 0.500
12 In 0.500 0.500 0.000
13 C 0.000 0.000 0.500
14 C 0.000 0.500 0.000
15 C 0.500 0.000 0.000
16 C 0.500 0.500 0.500

Properties
Crystal system: cubic
Magnetic moment (μB per atom): 0.00
Distance to the lowest polymorph of the same formula (kJ per mole of atoms): 117.8

***

Entry 3:
The following is a DFT calculation (PBE) of a geometry-optimized SmUIn structure.

Cell: 16.515 3.628 5.434 Å, 90.00 94.47 90.00°
Sites, in units of the cell vectors:
1 Sm 0.089 0.000 0.316
2 Sm 0.411 0.500 0.684
3 Sm 0.589 0.500 0.316
4 Sm 0.911 0.000 0.684
5 U 0.243 0.000 0.835
6 U 0.257 0.500 0.165
7 U 0.743 0.500 0.835
8 U 0.757 0.000 0.165
9 In 0.079 0.500 0.823
10 In 0.421 0.000 0.177
11 In 0.579 0.000 0.823
12 In 0.921 0.500 0.177

Properties
Crystal system: monoclinic
Calculated total energy (eV/cell): -76.048
Magnetic moment (μB per atom): 0.51

***

The records above give, respectively, mass density values of 5.7; 4.8; 10.3 Mg/m³.